{"formula": "ScCu4Sb", "functional": "GGA-PBE", "state": "optimized geometry", "lattice": [[0.000, 3.596, 3.596], [3.596, 0.000, 3.596], [3.596, 3.596, 0.000]], "species": ["Sc", "Cu", "Cu", "Cu", "Cu", "Sb"], "fractional_positions": [[0.000, 0.000, 0.000], [0.123, 0.626, 0.626], [0.626, 0.123, 0.626], [0.626, 0.626, 0.123], [0.626, 0.626, 0.626], [0.250, 0.250, 0.250]], "n_ef_per_ev_cell": 3.737, "sg": "F-43m, No. 216", "energy_ev_per_cell": -27.73}

***

{"formula": "ScCu2Sb2", "functional": "GGA-PBE", "state": "optimized geometry", "lattice": [[-2.427, 2.427, 4.399], [2.427, -2.427, 4.399], [2.427, 2.427, -4.399]], "species": ["Sc", "Cu", "Cu", "Sb", "Sb"], "fractional_positions": [[0.000, 0.000, 0.000], [0.366, 0.366, 0.000], [0.634, 0.634, 0.000], [0.250, 0.750, 0.500], [0.750, 0.250, 0.500]], "n_ef_per_ev_cell": 2.120, "sg": "I4/mmm, No. 139", "de_polymorph_ev_per_atom": 0.1470}